(1)
First-principles (PBE) data for a relaxed structure of HoCd2Cu9, as listed in Alexandria.

Calculated values
- Final energy: -3.717 eV per atom
- Size of the total moment: 0.0000 μB/atom
- Formation energy: -0.111 eV per atom

The structure in POSCAR format:
```
HoCd2Cu9
1.0
5.059 0.000 0.000
2.529 4.381 0.000
2.529 1.460 8.031
Ho Cd Cu
1 2 9
Direct
0.000 0.000 0.000
0.857 0.857 0.430
0.143 0.143 0.570
0.667 0.667 0.000
0.333 0.333 0.000
0.500 0.500 0.500
0.415 0.415 0.251
0.919 0.415 0.251
0.415 0.919 0.251
0.585 0.585 0.749
0.585 0.081 0.749
0.081 0.585 0.749
```

(2)
First-principles (PBE) data for a relaxed structure of HoCd5Cu, as listed in Alexandria.

Calculated values
- Final energy: -2.034 eV per atom
- Size of the total moment: 0.0000 μB/atom
- Formation energy: -0.141 eV per atom

The structure in POSCAR format:
```
HoCd5Cu
1.0
4.655 0.000 0.000
0.000 4.655 0.000
0.000 0.000 7.283
Ho Cd Cu
1 5 1
Direct
0.000 0.000 0.000
0.500 0.000 0.702
0.000 0.500 0.702
0.500 0.500 0.000
0.000 0.500 0.298
0.500 0.000 0.298
0.000 0.000 0.500
```

(3)
First-principles (PBE) data for a relaxed structure of Ho7Cd2Cu2, as listed in Alexandria.

Calculated values
- Final energy: -3.835 eV per atom
- Size of the total moment: 0.0000 μB/atom
- Formation energy: -0.011 eV per atom

The structure in POSCAR format:
```
Ho7Cd2Cu2
1.0
-3.207 -5.989 -0.105
4.744 -2.459 -4.613
4.722 -0.057 4.885
Ho Cd Cu
7 2 2
Direct
0.000 0.256 0.500
0.500 0.744 0.000
0.000 0.744 0.500
0.500 0.256 0.000
0.000 0.000 0.000
0.500 0.756 0.500
0.500 0.244 0.500
0.825 0.500 0.825
0.175 0.500 0.175
0.701 0.000 0.299
0.299 0.000 0.701
```

(4)
First-principles (PBE) data for a relaxed structure of HoCd3Cu8, as listed in Alexandria.

Calculated values
- Final energy: -3.450 eV per atom
- Size of the total moment: 0.0000 μB/atom
- Formation energy: -0.109 eV per atom

The structure in POSCAR format:
```
HoCd3Cu8
1.0
-1.027 -2.336 4.372
-0.680 -5.016 0.091
7.555 -3.528 2.821
Ho Cd Cu
1 3 8
Direct
0.875 0.875 0.374
0.375 0.375 0.876
0.003 0.003 0.991
0.496 0.496 0.513
0.939 0.438 0.185
0.437 0.937 0.689
0.438 0.438 0.185
0.937 0.937 0.689
0.187 0.187 0.438
0.688 0.688 0.937
0.438 0.939 0.185
0.937 0.437 0.689
```

(5)
First-principles (PBE) data for a relaxed structure of HoCdCu, as listed in Alexandria.

Calculated values
- Final energy: -3.498 eV per atom
- Size of the total moment: 0.0000 μB/atom
- Formation energy: -0.302 eV per atom

The structure in POSCAR format:
```
HoCdCu
1.0
-1.955 0.973 -3.148
-6.444 -1.949 3.400
-1.277 12.165 4.553
Ho Cd Cu
6 6 6
Direct
0.000 0.231 0.955
0.000 0.769 0.045
0.000 0.231 0.545
0.000 0.769 0.455
0.000 0.152 0.250
0.000 0.848 0.750
0.500 0.431 0.117
0.500 0.569 0.883
0.500 0.431 0.383
0.500 0.569 0.617
0.500 0.805 0.250
0.500 0.195 0.750
0.500 0.055 0.091
0.500 0.945 0.909
0.500 0.055 0.409
0.500 0.945 0.591
0.000 0.551 0.250
0.000 0.449 0.750
```

(6)
First-principles (PBE) data for a relaxed structure of HoCd2Cu, as listed in Alexandria.

Calculated values
- Final energy: -2.728 eV per atom
- Size of the total moment: 0.0000 μB/atom
- Formation energy: -0.102 eV per atom

The structure in POSCAR format:
```
HoCd2Cu
1.0
4.827 0.000 0.000
0.000 4.244 0.000
0.000 0.000 4.244
Ho Cu Cd
1 1 2
Direct
0.500 0.000 0.000
0.500 0.500 0.500
0.000 0.000 0.500
0.000 0.500 0.000
```

(7)
First-principles (PBE) data for a relaxed structure of Ho2CdCu9, as listed in Alexandria.

Calculated values
- Final energy: -4.026 eV per atom
- Size of the total moment: 0.0000 μB/atom
- Formation energy: -0.115 eV per atom

The structure in POSCAR format:
```
Ho2CdCu9
1.0
-4.163 -2.566 -1.444
-0.671 -4.826 1.506
-5.565 0.178 6.726
Ho Cd Cu
2 1 9
Direct
0.864 0.864 0.408
0.136 0.136 0.592
0.000 0.000 0.000
0.667 0.667 0.999
0.333 0.333 0.001
0.500 0.500 0.500
0.417 0.417 0.247
0.920 0.417 0.247
0.417 0.920 0.247
0.583 0.583 0.753
0.583 0.080 0.753
0.080 0.583 0.753
```

(8)
First-principles (PBE) data for a relaxed structure of Ho2Cd3Cu2, as listed in Alexandria.

Calculated values
- Final energy: -3.124 eV per atom
- Distance to the lowest polymorph of the same formula: 0 meV/atom
- Size of the total moment: 0.0000 μB/atom
- Formation energy: -0.253 eV per atom

The structure in POSCAR format:
```
Ho2Cd3Cu2
1.0
4.415 0.000 0.000
-2.207 4.511 -1.831
0.000 0.070 7.338
Ho Cd Cu
2 3 2
Direct
0.863 0.726 0.216
0.137 0.274 0.784
0.500 0.000 0.000
0.630 0.259 0.439
0.370 0.741 0.561
0.842 0.684 0.806
0.158 0.316 0.194
```

(9)
First-principles (PBE) data for a relaxed structure of HoCdCu4, as listed in Alexandria.

Calculated values
- Final energy: -3.899 eV per atom
- Size of the total moment: 0.0000 μB/atom
- Formation energy: -0.253 eV per atom

The structure in POSCAR format:
```
HoCdCu4
1.0
-1.010 -4.922 1.007
2.314 -2.396 3.871
-2.613 -1.281 4.219
Ho Cu Cd
1 4 1
Direct
0.249 0.251 0.249
0.123 0.625 0.626
0.627 0.121 0.627
0.626 0.626 0.626
0.626 0.625 0.123
0.999 0.003 0.999
```

(10)
First-principles (PBE) data for a relaxed structure of HoCdCu, as listed in Alexandria.

Calculated values
- Final energy: -3.332 eV per atom
- Size of the total moment: 0.0000 μB/atom
- Formation energy: -0.136 eV per atom

The structure in POSCAR format:
```
HoCdCu
1.0
4.613 0.000 0.000
2.307 3.995 0.000
2.307 1.332 3.767
Ho Cu Cd
1 1 1
Direct
0.000 0.000 0.000
0.250 0.250 0.250
0.500 0.500 0.500
```

(11)
First-principles (PBE) data for a relaxed structure of HoCd2Cu, as listed in Alexandria.

Calculated values
- Final energy: -2.740 eV per atom
- Size of the total moment: 0.0000 μB/atom
- Formation energy: -0.113 eV per atom

The structure in POSCAR format:
```
HoCd2Cu
1.0
-0.820 4.747 0.849
-4.238 2.032 -1.359
-3.261 1.351 3.386
Ho Cu Cd
1 1 2
Direct
0.000 0.000 0.000
0.500 0.500 0.500
0.250 0.250 0.250
0.750 0.750 0.750
```

(12)
First-principles (PBE) data for a relaxed structure of Ho2Cd3Cu2, as listed in Alexandria.

Calculated values
- Final energy: -3.113 eV per atom
- Distance to the lowest polymorph of the same formula: 11 meV/atom
- Size of the total moment: 0.0000 μB/atom
- Formation energy: -0.242 eV per atom

The structure in POSCAR format:
```
Ho2Cd3Cu2
1.0
3.617 0.000 0.000
0.000 4.225 0.000
0.000 -2.113 9.974
Ho Cd Cu
2 3 2
Direct
0.000 0.829 0.657
0.000 0.171 0.343
0.500 0.577 0.154
0.500 0.423 0.846
0.000 0.000 0.000
0.500 0.715 0.431
0.500 0.285 0.569
```

(13)
First-principles (PBE) data for a relaxed structure of Ho8Cd2Cu, as listed in Alexandria.

Calculated values
- Final energy: -3.969 eV per atom
- Size of the total moment: 0.0000 μB/atom
- Formation energy: -0.101 eV per atom

The structure in POSCAR format:
```
Ho8Cd2Cu
1.0
5.234 0.000 0.000
0.000 6.822 0.142
-2.617 -2.757 8.436
Ho Cd Cu
8 2 1
Direct
0.409 0.557 0.818
0.655 0.962 0.310
0.801 0.704 0.601
0.979 0.223 0.958
0.199 0.296 0.399
0.345 0.038 0.690
0.591 0.443 0.182
0.021 0.777 0.042
0.814 0.278 0.628
0.186 0.722 0.372
0.500 0.000 0.000
```

(14)
First-principles (PBE) data for a relaxed structure of Ho6CdCu, as listed in Alexandria.

Calculated values
- Final energy: -3.893 eV per atom
- Size of the total moment: 0.0000 μB/atom
- Formation energy: 0.167 eV per atom

The structure in POSCAR format:
```
Ho6CdCu
1.0
-2.753 -6.205 -2.106
-1.461 -5.055 4.790
-6.570 -1.661 1.519
Ho Cd Cu
6 1 1
Direct
0.034 0.436 0.759
0.772 0.033 0.759
0.564 0.228 0.241
0.228 0.967 0.241
0.966 0.564 0.241
0.436 0.772 0.759
0.500 0.500 0.500
0.000 0.000 0.000
```

(15)
First-principles (PBE) data for a relaxed structure of HoCd2Cu, as listed in Alexandria.

Calculated values
- Final energy: -2.734 eV per atom
- Size of the total moment: 0.0351 μB/atom
- Formation energy: -0.108 eV per atom

The structure in POSCAR format:
```
HoCd2Cu
1.0
-0.878 2.966 -1.246
-2.622 -1.408 -1.504
-4.193 1.314 6.079
Ho Cu Cd
1 1 2
Direct
0.500 0.500 0.500
0.500 0.500 0.000
0.000 0.000 0.796
0.000 0.000 0.204
```

(16)
First-principles (PBE) data for a relaxed structure of HoCdCuIr, as listed in Alexandria.

Calculated values
- Final energy: -4.905 eV per atom
- Size of the total moment: 0.0000 μB/atom
- Formation energy: -0.292 eV per atom

The structure in POSCAR format:
```
HoCdCuIr
1.0
4.715 0.000 0.000
2.358 4.084 0.000
2.358 1.361 3.850
Ir Ho Cu Cd
1 1 1 1
Direct
0.500 0.500 0.500
0.250 0.250 0.250
0.000 0.000 0.000
0.750 0.750 0.750
```

(17)
First-principles (PBE) data for a relaxed structure of LiHoCdCu, as listed in Alexandria.

Calculated values
- Final energy: -3.050 eV per atom
- Size of the total moment: 0.0001 μB/atom
- Formation energy: -0.174 eV per atom

The structure in POSCAR format:
```
LiHoCdCu
1.0
4.737 0.000 0.000
2.369 4.102 0.000
2.369 1.367 3.868
Li Ho Cu Cd
1 1 1 1
Direct
0.500 0.500 0.500
0.250 0.250 0.250
0.000 0.000 0.000
0.750 0.750 0.750
```

(18)
First-principles (PBE) data for a relaxed structure of NdHoCdCu, as listed in Alexandria.

Calculated values
- Final energy: -3.791 eV per atom
- Size of the total moment: 0.0000 μB/atom
- Formation energy: -0.202 eV per atom

The structure in POSCAR format:
```
NdHoCdCu
1.0
-1.220 4.656 -1.957
-2.533 0.334 -4.524
-4.954 1.562 -0.094
Nd Ho Cu Cd
1 1 1 1
Direct
0.000 0.000 0.000
0.500 0.500 0.500
0.250 0.250 0.250
0.750 0.750 0.750
```

(19)
First-principles (PBE) data for a relaxed structure of PrHoCdCu, as listed in Alexandria.

Calculated values
- Final energy: -3.786 eV per atom
- Size of the total moment: 0.0001 μB/atom
- Formation energy: -0.194 eV per atom

The structure in POSCAR format:
```
PrHoCdCu
1.0
5.217 0.000 0.000
2.609 4.518 0.000
2.609 1.506 4.260
Pr Ho Cu Cd
1 1 1 1
Direct
0.000 0.000 0.000
0.500 0.500 0.500
0.250 0.250 0.250
0.750 0.750 0.750
```

(20)
First-principles (PBE) data for a relaxed structure of Ho4CdCuRh2, as listed in Alexandria.

Calculated values
- Final energy: -5.318 eV per atom
- Size of the total moment: 0.0000 μB/atom
- Formation energy: -0.565 eV per atom

The structure in POSCAR format:
```
Ho4CdCuRh2
1.0
-4.775 -1.264 -0.324
-1.491 -4.457 1.553
-3.385 1.098 7.788
Ho Cd Cu Rh
4 1 1 2
Direct
0.380 0.380 0.860
0.871 0.871 0.388
0.129 0.129 0.612
0.620 0.620 0.140
0.000 0.000 0.000
0.500 0.500 0.500
0.749 0.749 0.754
0.251 0.251 0.246
```

(21)
First-principles (PBE) data for a relaxed structure of Ho4CdCu2Ru, as listed in Alexandria.

Calculated values
- Final energy: -4.906 eV per atom
- Size of the total moment: 0.0000 μB/atom
- Formation energy: -0.319 eV per atom

The structure in POSCAR format:
```
Ho4CdCu2Ru
1.0
4.977 0.000 0.000
2.488 4.310 0.000
2.488 1.437 8.071
Ho Cd Cu Ru
4 1 2 1
Direct
0.383 0.383 0.850
0.868 0.868 0.396
0.132 0.132 0.604
0.617 0.617 0.150
0.000 0.000 0.000
0.744 0.744 0.767
0.256 0.256 0.233
0.500 0.500 0.500
```

(22)
First-principles (PBE) data for a relaxed structure of SrHoCdCu, as listed in Alexandria.

Calculated values
- Final energy: -2.912 eV per atom
- Size of the total moment: 0.0000 μB/atom
- Formation energy: -0.094 eV per atom

The structure in POSCAR format:
```
SrHoCdCu
1.0
-1.897 4.948 -0.101
-5.082 0.865 -1.229
-3.393 1.613 3.738
Sr Ho Cu Cd
1 1 1 1
Direct
0.000 0.000 0.000
0.500 0.500 0.500
0.250 0.250 0.250
0.750 0.750 0.750
```

(23)
First-principles (PBE) data for a relaxed structure of TbHoCdCu, as listed in Alexandria.

Calculated values
- Final energy: -3.784 eV per atom
- Distance to the lowest polymorph of the same formula: 45 meV/atom
- Size of the total moment: 0.0000 μB/atom
- Formation energy: -0.229 eV per atom

The structure in POSCAR format:
```
TbHoCdCu
1.0
-4.034 -3.080 -0.649
0.143 -4.806 1.750
-2.865 -1.345 4.021
Tb Ho Cu Cd
1 1 1 1
Direct
0.500 0.500 0.500
0.000 0.000 0.000
0.250 0.250 0.250
0.750 0.750 0.750
```

(24)
First-principles (PBE) data for a relaxed structure of TbHoCdCu, as listed in Alexandria.

Calculated values
- Final energy: -3.829 eV per atom
- Distance to the lowest polymorph of the same formula: 0 meV/atom
- Size of the total moment: 0.0000 μB/atom
- Formation energy: -0.275 eV per atom

The structure in POSCAR format:
```
TbHoCdCu
1.0
3.512 0.000 0.000
0.000 3.512 0.000
0.000 0.000 7.639
Tb Ho Cd Cu
1 1 1 1
Direct
0.000 0.000 0.829
0.000 0.000 0.386
0.500 0.500 0.110
0.500 0.500 0.603
```

(25)
First-principles (PBE) data for a relaxed structure of Ho4Zn2CdCu, as listed in Alexandria.

Calculated values
- Final energy: -3.538 eV per atom
- Size of the total moment: 0.0000 μB/atom
- Formation energy: -0.304 eV per atom

The structure in POSCAR format:
```
Ho4Zn2CdCu
1.0
5.067 0.000 0.000
2.534 4.388 0.000
2.534 1.463 8.226
Ho Zn Cd Cu
4 2 1 1
Direct
0.381 0.381 0.857
0.870 0.870 0.391
0.130 0.130 0.609
0.619 0.619 0.143
0.746 0.746 0.763
0.254 0.254 0.237
0.000 0.000 0.000
0.500 0.500 0.500
```

(26)
First-principles (PBE) data for a relaxed structure of Ho4ZnCdCu2, as listed in Alexandria.

Calculated values
- Final energy: -3.852 eV per atom
- Size of the total moment: 0.0000 μB/atom
- Formation energy: -0.266 eV per atom

The structure in POSCAR format:
```
Ho4ZnCdCu2
1.0
-3.815 -0.585 3.216
0.840 -1.899 4.574
0.296 6.736 5.500
Ho Zn Cd Cu
4 1 1 2
Direct
0.379 0.379 0.864
0.872 0.872 0.385
0.128 0.128 0.615
0.621 0.621 0.136
0.500 0.500 0.500
0.000 0.000 0.000
0.748 0.748 0.755
0.252 0.252 0.245
```